6
Lattice="0.0000 3.4080 3.4080 3.4080 0.0000 3.4080 3.4080 3.4080 0.0000" Properties=species:S:1:pos:R:3 comment="ScCr4As | the Alexandria database | GGA-PBEsol | relaxed" n_ef_per_ev_atom=0.788 magnetic_moment_mub_per_cell=0.000 e_form_mev_per_atom=141 pbc="T T T"
Sc 0.0000 0.0000 0.0000
Cr 4.2502 2.5658 2.5658
Cr 2.5658 4.2502 2.5658
Cr 2.5658 2.5658 4.2502
Cr 4.2502 4.2502 4.2502
As 1.7040 1.7040 1.7040

3
Lattice="0.0000 3.0292 3.0292 3.0292 0.0000 3.0292 3.0292 3.0292 0.0000" Properties=species:S:1:pos:R:3 comment="ScCrAs | the Alexandria database | GGA-PBEsol | relaxed" n_ef_per_ev_atom=0.631 magnetic_moment_mub_per_cell=3.525 e_form_mev_per_atom=-284 pbc="T T T"
Sc 0.0000 0.0000 0.0000
Cr 3.0292 3.0292 3.0292
As 4.5438 4.5438 4.5438

4
Lattice="2.8700 0.0000 0.0000 0.0000 2.8700 0.0000 0.0000 0.0000 8.6415" Properties=species:S:1:pos:R:3 comment="CrAsSe2 | the Alexandria database | GGA-PBEsol | relaxed" n_ef_per_ev_atom=0.855 magnetic_moment_mub_per_cell=0.007 formation_energy_uncorrected_ev_per_atom=0.027 pbc="T T T"
Cr 0.0000 0.0000 0.0000
As 1.4350 1.4350 7.0445
Se 0.0000 0.0000 4.3884
Se 1.4350 1.4350 1.3831

4
Lattice="1.7164 0.9910 8.1634 -1.7164 0.9910 8.1634 0.0000 -1.9819 8.1634" Properties=species:S:1:pos:R:3 comment="CrAsSe2 | the Alexandria database | GGA-PBEsol | relaxed" n_ef_per_ev_atom=0.536 magnetic_moment_mub_per_cell=2.818 formation_energy_uncorrected_ev_per_atom=-0.102 pbc="T T T"
Cr 0.0000 0.0000 0.0000
As 0.0000 0.0000 12.2451
Se 0.0000 0.0000 9.6074
Se 0.0000 0.0000 14.8828

| no. | DFT total energy (eV/atom) | density (g/cm3) |
| --- | --- | --- |
| 1 | -8.64 | 6.9 |
| 2 | -7.60 | 5.1 |
| 3 | -5.74 | 6.6 |
| 4 | -5.86 | 5.7 |